# RbGe2P2

A geometry-optimized RbGe2P2 structure (GGA-PBE, the Alexandria database).

Cell: 8.456 8.456 3.457 Å, 90.00 90.00 90.00°
Fractional coordinates of all 10 atoms:
Rb 0.000 0.000 0.000
Rb 0.500 0.500 0.000
Ge 0.140 0.360 0.500
Ge 0.360 0.860 0.500
Ge 0.640 0.140 0.500
Ge 0.860 0.640 0.500
P 0.096 0.596 0.000
P 0.404 0.096 0.000
P 0.596 0.904 0.000
P 0.904 0.404 0.000

SG: P4/mbm
Formation energy (meV per atom): 181
Density (g/cm³): 3.93
Magnetic moment (μB per formula unit): 0.0
Energy relative to the lowest polymorph listed for this composition (kJ/mol of formula units): 131


# ScMn2Pd2

A geometry-optimized ScMn2Pd2 structure (GGA-PBE, the Alexandria database).

Cell: 7.559 7.559 7.559 Å, 155.14 155.14 35.44°
Fractional coordinates of all 5 atoms:
Sc 0.000 0.000 0.000
Mn 0.250 0.750 0.500
Mn 0.750 0.250 0.500
Pd 0.398 0.398 0.000
Pd 0.602 0.602 0.000

SG: I4/mmm
Formation energy (meV per atom): -50
Density (g/cm³): 8.01
Magnetic moment (μB per formula unit): 0.0
Energy relative to the lowest polymorph listed for this composition (kJ/mol of formula units): 0